[1]
Material: Ce2HoSc3P6
Method: DFT, PBE
State: optimized geometry

POSCAR file:
```
Ce2HoSc3P6
1.0
3.390 -5.872 0.000
3.390 5.872 0.000
-2.260 0.000 6.336
Ce Ho Sc P
2 1 3 6
direct
0.167 0.833 0.000 Ce
0.833 0.167 0.000 Ce
0.500 0.500 0.000 Ho
0.000 0.000 0.500 Sc
0.333 0.667 0.500 Sc
0.667 0.333 0.500 Sc
0.079 0.411 0.734 P
0.258 0.258 0.268 P
0.411 0.079 0.734 P
0.589 0.921 0.266 P
0.742 0.742 0.732 P
0.921 0.589 0.266 P
```

Results
Energy of formation from the pure elements = -145 kJ/mol of atoms
Crystal system = monoclinic
Raw total energy = -7.1602 eV/atom
Space-group type = C2/m

[2]
Material: CeHoSc2P4
Method: DFT, PBE
State: optimized geometry

POSCAR file:
```
CeHoSc2P4
1.0
6.719 0.000 0.000
0.000 3.906 0.000
-2.259 0.000 6.372
Ce Ho Sc P
1 1 2 4
direct
0.000 0.000 0.000 Ce
0.000 0.500 0.500 Ho
0.500 0.000 0.500 Sc
0.500 0.500 0.000 Sc
0.264 0.000 0.754 P
0.267 0.500 0.258 P
0.733 0.500 0.742 P
0.736 0.000 0.246 P
```

Results
Energy of formation from the pure elements = -146 kJ/mol of atoms
Crystal system = monoclinic
Raw total energy = -7.1131 eV/atom
Space-group type = P2/m

[3]
Material: CeHo2Sc3P6
Method: DFT, PBE
State: optimized geometry

POSCAR file:
```
CeHo2Sc3P6
1.0
3.372 -5.839 0.000
3.372 5.839 0.000
-2.248 0.000 6.325
Ce Ho Sc P
1 2 3 6
direct
0.000 0.000 0.000 Ce
0.333 0.667 0.000 Ho
0.667 0.333 0.000 Ho
0.167 0.833 0.500 Sc
0.500 0.500 0.500 Sc
0.833 0.167 0.500 Sc
0.088 0.422 0.265 P
0.246 0.246 0.736 P
0.422 0.088 0.265 P
0.578 0.912 0.735 P
0.754 0.754 0.264 P
0.912 0.578 0.735 P
```

Results
Energy of formation from the pure elements = -147 kJ/mol of atoms
Crystal system = monoclinic
Raw total energy = -7.0703 eV/atom
Space-group type = C2/m

[4]
Material: CeSmHo2P4
Method: DFT, PBE
State: optimized geometry

POSCAR file:
```
CeSmHo2P4
1.0
6.986 0.000 0.000
0.000 4.043 0.000
-2.328 0.000 6.601
Ce Sm Ho P
1 1 2 4
direct
0.000 0.000 0.000 Ce
0.000 0.500 0.500 Sm
0.500 0.000 0.500 Ho
0.500 0.500 0.000 Ho
0.255 0.000 0.755 P
0.255 0.500 0.250 P
0.745 0.000 0.245 P
0.745 0.500 0.750 P
```

Results
Energy of formation from the pure elements = -152 kJ/mol of atoms
Crystal system = monoclinic
Raw total energy = -6.7585 eV/atom
Space-group type = P2/m

no.,calculated volume (Å³ per cell)
1,252.3
2,167.2
3,249.1
4,186.4